First-principles (PBE-GGA) data for a relaxed CdB2S crystal, as listed in the Alexandria database.

* symmetry: Fm-3m (225)
* VASP energy: -2.808 eV per atom
* formation energy from raw total energies: 1792 meV per atom
* volume: 13.6 A^3/atom

Cell and atoms, written as CIF:
```
data_CdB2S
_chemical_formula_sum 'Cd1 B2 S1'
_space_group_name_H-M_alt 'P 1'
_space_group_IT_number 1
_space_group_name_Hall 'P 1'
_cell_length_a 4.258
_cell_length_b 4.258
_cell_length_c 4.258
_cell_angle_alpha 60.00
_cell_angle_beta 60.00
_cell_angle_gamma 60.00
loop_
_atom_site_label
_atom_site_type_symbol
_atom_site_fract_x
_atom_site_fract_y
_atom_site_fract_z
B1 B 0.750 0.750 0.750
Cd1 Cd 0.500 0.500 0.500
B2 B 0.250 0.250 0.250
S1 S 0.000 0.000 0.000
```